# 1
First-principles (PBE-GGA) data for a relaxed structure of Rb2YMnTe4, as listed in the Alexandria database.

Cell lengths 9.3869, 9.3869, 9.2594 Å; angles 119.56, 119.56, 92.24 degrees
With the nearest neighbours (Å) after each atom.
Sites, in units of the cell vectors:
Rb1 0.5000 0.0000 0.0000  6 Te 3.45-3.62
Rb2 0.5000 0.0000 0.5000  6 Te 3.45-3.62
Rb3 0.0000 0.0000 0.5000  6 Te 3.57-3.69
Rb4 0.5000 0.5000 0.0000  6 Te 3.57-3.69
Y1 0.0000 0.5000 0.0000  6 Te 3.07-3.24
Y2 0.0000 0.5000 0.5000  6 Te 3.07-3.24
Mn1 0.5000 0.5000 0.5000  6 Te 2.88-3.22
Mn2 0.0000 0.0000 0.0000  6 Te 2.88-3.22
Te1 0.2077 0.7334 0.9706  2 Y 3.07-3.08, 1 Mn 3.22
Te2 0.7666 0.2923 0.5294  2 Y 3.07-3.08, 1 Mn 3.22
Te3 0.2334 0.7077 0.4706  2 Y 3.07-3.08, 1 Mn 3.22
Te4 0.7923 0.2666 0.0294  2 Y 3.07-3.08, 1 Mn 3.22
Te5 0.7642 0.7357 0.9375  2 Mn 2.88
Te6 0.7643 0.7358 0.5625  2 Mn 2.88
Te7 0.2357 0.2642 0.4375  2 Mn 2.88
Te8 0.2358 0.2643 0.0625  2 Mn 2.88

Calculated values
* M_tot: 4.0 μB/f.u.
* total DFT energy (no corrections): -4.60 eV/atom
* raw formation energy: -0.836 eV/atom

---

# 2
First-principles (PBE-GGA) data for a relaxed structure of RbMnZnTe3, as listed in the Alexandria database.

Cell lengths 4.1283, 8.3703, 12.9755 Å; angles 111.46, 90.00, 90.00 degrees
With the nearest neighbours (Å) after each atom.
Sites, in units of the cell vectors:
Rb1 0.2500 0.2827 0.3044  7 Te 3.75-3.79, 2 Rb 4.13
Rb2 0.7500 0.7173 0.6956  7 Te 3.75-3.79, 2 Rb 4.13
Mn1 0.2500 0.6454 0.1205  5 Te 2.74-2.81
Mn2 0.7500 0.3546 0.8795  5 Te 2.74-2.81
Zn1 0.2500 0.1023 0.6020  4 Te 2.66-2.78
Zn2 0.7500 0.8977 0.3980  4 Te 2.66-2.78
Te1 0.7500 0.8755 0.1871  1 Zn 2.67, 2 Mn 2.74
Te2 0.2500 0.1245 0.8129  1 Zn 2.67, 2 Mn 2.74
Te3 0.2500 0.7579 0.4630  3 Zn 2.66-2.78
Te4 0.7500 0.2421 0.5370  3 Zn 2.66-2.78
Te5 0.7500 0.4215 0.1084  3 Mn 2.75-2.81
Te6 0.2500 0.5785 0.8916  3 Mn 2.75-2.81

Calculated values
* M_tot: 4.0 μB/f.u.
* total DFT energy (no corrections): -3.96 eV/atom
* raw formation energy: -0.490 eV/atom

---

# 3
First-principles (PBE-GGA) data for a relaxed structure of Rb3Zr3MnTe8, as listed in the Alexandria database.

Cell lengths 8.3637, 8.3669, 10.0374 Å; angles 114.66, 90.01, 119.96 degrees
With the nearest neighbours (Å) after each atom.
Sites, in units of the cell vectors:
Rb1 0.0000 0.0000 0.0000  6 Te 3.61-3.65
Rb2 0.0000 0.5000 0.0000  6 Te 3.61-3.65
Rb3 0.5000 0.5000 0.0000  6 Te 3.61-3.65
Zr1 0.5000 0.0000 0.5000  6 Te 2.93-2.96
Zr2 0.5000 0.5000 0.5000  6 Te 2.93-2.96
Zr3 0.0000 0.5000 0.5000  6 Te 2.93-2.97
Mn1 0.0000 0.0000 0.5000  6 Te 2.92
Te1 0.2683 0.5365 0.3046  3 Zr 2.96-2.97
Te2 0.7317 0.4635 0.6954  3 Zr 2.96-2.97
Te3 0.7712 0.5423 0.3119  1 Mn 2.92, 2 Zr 2.93
Te4 0.2288 0.4577 0.6881  1 Mn 2.92, 2 Zr 2.93
Te5 0.7712 0.0408 0.3120  1 Mn 2.92, 2 Zr 2.93
Te6 0.2288 0.9592 0.6880  1 Mn 2.92, 2 Zr 2.93
Te7 0.2695 0.0408 0.3121  1 Mn 2.92, 2 Zr 2.93
Te8 0.7305 0.9592 0.6879  1 Mn 2.92, 2 Zr 2.93

Calculated values
* M_tot: 5.0 μB/f.u.
* total DFT energy (no corrections): -5.03 eV/atom
* raw formation energy: -0.844 eV/atom

---

Q: Which formula does entry 2 have?
A: RbMnZnTe3